The following is a DFT calculation (PBE) of crystalline NdTm6Sc2 at its relaxed geometry.

Results
The calculation puts the density of states at the Fermi level at 16.442 states/eV per cell. The value obtained for the volume is 29.86 A^3/atom. The energy above the most stable polymorph in this dataset comes out at 0.00 eV/f.u. As for the size of the total moment: 0.1 μB per formula unit. Its energy relative to the elements is 0.57 eV/f.u. As for the calculated total energy: -43.694 eV per cell.

abc: 3.5000 3.5000 25.3294
angles: 90.00 90.00 120.00
Space group P-6m2 (No. 187)
Inequivalent atoms, fractional coordinates:
Nd 0.0000 0.0000 0.0000 [1 per cell]
Tm 0.0000 0.0000 0.2271 [2 per cell]
Tm 0.0000 0.0000 0.4337 [2 per cell]
Tm 0.3333 0.6667 0.1164 [2 per cell]
Sc 0.3333 0.6667 0.3310 [2 per cell]

The following is a DFT calculation (PBE) of crystalline Cs2GaSI6 at its relaxed geometry.

Results
The calculation puts the density of states at the Fermi level at 9.330 states/eV per cell. The value obtained for the volume is 41.82 A^3/atom. As for the size of the total moment: 0.0 μB per formula unit. The energy relative to the elements, uncorrected is -0.6435 eV/atom. As for the calculated total energy: -49.195 eV per cell.

abc: 8.156 8.156 12.573
angles: 90.00 90.00 90.00
Space group I4/mmm (No. 139)
Inequivalent atoms, fractional coordinates:
Cs 0.000 0.500 0.250 [4 per cell]
Ga 0.000 0.000 0.000 [2 per cell]
S 0.000 0.000 0.500 [2 per cell]
I 0.000 0.000 0.225 [4 per cell]
I 0.240 0.240 0.500 [8 per cell]

The following is a DFT calculation (PBE) of crystalline Pu3I7Cl at its relaxed geometry.

Results
The calculation puts the density of states at the Fermi level at 40.615 states/eV per cell. The value obtained for the volume is 46.68 A^3/atom. As for the size of the total moment: 16.0 μB per formula unit. The energy relative to the elements, uncorrected is -1.1976 eV/atom. As for the calculated total energy: -68.867 eV per cell.

abc: 8.9327 8.9327 7.4303
angles: 90.00 90.00 120.00
Space group P3m1 (No. 156)
Inequivalent atoms, fractional coordinates:
Pu 0.0070 0.5035 0.0000 [3 per cell]
I 0.1693 0.3386 0.7570 [3 per cell]
I 0.3398 0.1699 0.2349 [3 per cell]
I 0.6667 0.3333 0.7560 [1 per cell]
Cl 0.3333 0.6667 0.1761 [1 per cell]

The following is a DFT calculation (PBE) of crystalline Tb8Ir5Pd at its relaxed geometry.

Results
The calculation puts the density of states at the Fermi level at 11.346 states/eV per cell. The value obtained for the volume is 23.10 A^3/atom. As for the size of the total moment: 0.0 μB per formula unit. Its energy relative to the elements is -10.71 eV/f.u. As for the calculated total energy: -194.496 eV per cell.

abc: 8.652 8.652 8.639
angles: 90.00 90.00 90.00
Space group I-4 (No. 82)
Inequivalent atoms, fractional coordinates:
Tb 0.065 0.312 0.433 [8 per cell]
Tb 0.066 0.181 0.810 [8 per cell]
Ir 0.000 0.000 0.500 [2 per cell]
Ir 0.128 0.248 0.122 [8 per cell]
Pd 0.000 0.500 0.750 [2 per cell]

The following is a DFT calculation (PBE) of crystalline Rb2CI6F at its relaxed geometry.

Results
The calculation puts the density of states at the Fermi level at 7.487 states/eV per cell. The value obtained for the volume is 35.12 A^3/atom. As for the size of the total moment: 0.0 μB per formula unit. The energy relative to the elements, uncorrected is -0.1853 eV/atom. As for the calculated total energy: -48.368 eV per cell.

abc: 7.205 7.205 13.532
angles: 90.00 90.00 90.00
Space group I4/mmm (No. 139)
Inequivalent atoms, fractional coordinates:
Rb 0.000 0.500 0.250 [4 per cell]
C 0.000 0.000 0.000 [2 per cell]
I 0.000 0.000 0.209 [4 per cell]
I 0.244 0.244 0.000 [8 per cell]
F 0.000 0.000 0.500 [2 per cell]

The following is a DFT calculation (PBE) of crystalline CsBaGaSe3 at its relaxed geometry.

Results
The calculation puts the density of states at the Fermi level at 0.386 states/eV per cell. The value obtained for the volume is 36.40 A^3/atom. As for the size of the total moment: 0.0 μB per formula unit. The energy relative to the elements, uncorrected is -1.1104 eV/atom. As for the calculated total energy: -91.677 eV per cell.

abc: 17.150 5.405 9.760
angles: 90.00 105.07 90.00
Space group C2/m (No. 12)
Inequivalent atoms, fractional coordinates:
Cs 0.146 0.000 0.065 [4 per cell]
Ba 0.145 0.000 0.569 [4 per cell]
Ga 0.007 0.500 0.280 [4 per cell]
Se 0.002 0.000 0.278 [4 per cell]
Se 0.137 0.500 0.782 [4 per cell]
Se 0.153 0.500 0.349 [4 per cell]

The following is a DFT calculation (PBE) of crystalline Pu3Ga4Pt2 at its relaxed geometry.

Results
The calculation puts the density of states at the Fermi level at 38.216 states/eV per cell. The value obtained for the volume is 19.21 A^3/atom. As for the size of the total moment: 15.9 μB per formula unit. Its energy relative to the elements is -5.83 eV/f.u. As for the calculated total energy: -146.037 eV per cell.

abc: 10.188 4.722 8.701
angles: 90.00 124.29 90.00
Space group C2/m (No. 12)
Inequivalent atoms, fractional coordinates:
Pu 0.000 0.000 0.000 [2 per cell]
Pu 0.161 0.500 0.670 [4 per cell]
Ga 0.080 0.000 0.406 [4 per cell]
Ga 0.203 0.500 0.041 [4 per cell]
Pt 0.113 0.500 0.279 [4 per cell]

The following is a DFT calculation (PBE) of crystalline SbS4Br at its relaxed geometry.

Results
The value obtained for the volume is 32.37 A^3/atom. As for the size of the total moment: 0.0 μB per formula unit. The energy relative to the elements, uncorrected is 0.0072 eV/atom. As for the calculated total energy: -89.048 eV per cell.

abc: 8.996 18.960 4.888
angles: 90.00 111.27 90.00
Space group C2/c (No. 15)
Inequivalent atoms, fractional coordinates:
Sb 0.000 0.150 0.250 [4 per cell]
S 0.165 0.069 0.639 [8 per cell]
S 0.212 0.153 0.928 [8 per cell]
Br 0.000 0.353 0.750 [4 per cell]

The following is a DFT calculation (PBE) of crystalline Rb2DyF6 at its relaxed geometry.

Results
The calculation puts the density of states at the Fermi level at 18.972 states/eV per cell. The value obtained for the volume is 19.34 A^3/atom. As for the size of the total moment: 1.1 μB per formula unit. The energy relative to the elements, uncorrected is -3.0653 eV/atom. As for the calculated total energy: -90.705 eV per cell.

abc: 4.046 6.640 12.959
angles: 90.00 90.00 90.00
Space group Immm (No. 71)
Inequivalent atoms, fractional coordinates:
Rb 0.000 0.000 0.169 [4 per cell]
Dy 0.000 0.000 0.500 [2 per cell]
F 0.000 0.210 0.365 [8 per cell]
F 0.000 0.312 0.000 [4 per cell]

The following is a DFT calculation (PBE) of crystalline Zn2InAu at its relaxed geometry.

Results
The calculation puts the density of states at the Fermi level at 1.510 states/eV per cell. The value obtained for the volume is 18.48 A^3/atom. As for the size of the total moment: 0.0 μB per formula unit. Its energy relative to the elements is -0.17 eV/f.u. As for the calculated total energy: -8.734 eV per cell.

abc: 3.643 3.643 5.570
angles: 90.00 90.00 90.00
Space group P4mm (No. 99)
Inequivalent atoms, fractional coordinates:
Zn 0.000 0.000 0.000 [1 per cell]
Zn 0.500 0.500 0.235 [1 per cell]
In 0.500 0.500 0.733 [1 per cell]
Au 0.000 0.000 0.470 [1 per cell]

The following is a DFT calculation (PBE) of crystalline LiGeAsBr2 at its relaxed geometry.

Results
The calculation puts the density of states at the Fermi level at 3.686 states/eV per cell. The value obtained for the volume is 23.59 A^3/atom. The energy above the most stable polymorph in this dataset comes out at 1.06 eV/f.u. As for the size of the total moment: 0.0 μB per formula unit. The energy relative to the elements, uncorrected is 0.1095 eV/atom. As for the calculated total energy: -13.979 eV per cell.

abc: 4.798 4.798 5.124
angles: 90.00 90.00 90.00
Space group P4/mmm (No. 123)
Inequivalent atoms, fractional coordinates:
Li 0.000 0.000 0.000 [1 per cell]
Ge 0.500 0.500 0.500 [1 per cell]
As 0.000 0.000 0.500 [1 per cell]
Br 0.000 0.500 0.000 [2 per cell]

The following is a DFT calculation (PBE) of crystalline Pr2NdSmTe5 at its relaxed geometry.

Results
The calculation puts the density of states at the Fermi level at 4.413 states/eV per cell. The value obtained for the volume is 41.98 A^3/atom. As for the size of the total moment: 0.7 μB per formula unit. The energy relative to the elements, uncorrected is -0.8088 eV/atom. As for the calculated total energy: -42.034 eV per cell.

abc: 5.635 5.635 11.897
angles: 90.00 90.00 90.00
Space group P4/mmm (No. 123)
Inequivalent atoms, fractional coordinates:
Pr 0.000 0.000 0.156 [2 per cell]
Nd 0.500 0.500 0.500 [1 per cell]
Sm 0.500 0.500 0.000 [1 per cell]
Te 0.000 0.000 0.500 [1 per cell]
Te 0.000 0.500 0.000 [2 per cell]
Te 0.500 0.500 0.252 [2 per cell]